First-principles (GGA-PBE) data for an optimized crystal structure of Al2O3, as listed in Alexandria via LeMat-Bulk. Values from VASP.

Results
V = 8.564 Å³ per atom
SG = Pbcn, No. 60
Formation energy without anion corrections = -14.6 eV per formula unit
Size of the total moment = 0.00 μB/f.u.
Total energy = -7.387 eV/atom

```
&SYSTEM
  ibrav = 0, nat = 20, ntyp = 2
/
ATOMIC_SPECIES
Al 26.98 Al.upf
O 16.00 O.upf
CELL_PARAMETERS angstrom
7.090 0.000 0.000
0.000 4.846 0.000
0.000 0.000 4.985
ATOMIC_POSITIONS crystal
Al 0.110 0.248 0.031
Al 0.110 0.752 0.531
Al 0.390 0.252 0.531
Al 0.390 0.748 0.031
Al 0.610 0.252 0.969
Al 0.610 0.748 0.469
Al 0.890 0.248 0.469
Al 0.890 0.752 0.969
O 0.000 0.050 0.750
O 0.000 0.950 0.250
O 0.154 0.393 0.398
O 0.154 0.607 0.898
O 0.346 0.107 0.898
O 0.346 0.893 0.398
O 0.500 0.450 0.250
O 0.500 0.550 0.750
O 0.654 0.107 0.602
O 0.654 0.893 0.102
O 0.846 0.393 0.102
O 0.846 0.607 0.602
```